The following is a DFT calculation (PBE) of crystalline Sm12Co3N5 at its relaxed geometry.

The space group is Ia-3d (No. 230) and the conventional cell measures 15.421, 15.421 and 15.421 Å, with angles of 90.00, 90.00 and 90.00 degrees. The asymmetric unit holds Sm at (0.030, 0.056, 0.651), Co at (0.000, 0.250, 0.125), N at (0.000, 0.000, 0.000) and N at (0.000, 0.250, 0.375).

For the magnetization, the calculation gives 0.00 Bohr magnetons per cell. The density of states at the Fermi level is 137.40 states/eV per cell. The calculation puts the uncorrected formation energy at -0.598 eV per atom.